The following is a PBE calculation of a relaxed FeCu2Pb crystal, from the Alexandria database.

Computed properties:
crystal system: monoclinic
space group: P2/m (10)
ΔE_f: 0.370 eV/atom

Unit cell a=3.291 b=3.119 c=7.071 alpha=63.92 beta=90.00 gamma=90.00
Positions (direct):
Cu 0.000 0.945 0.054
Cu 0.000 0.555 0.446
Fe 0.500 0.250 0.250
Pb 0.500 0.750 0.750

=====

The following is a PBE calculation of a relaxed LaPm4Nd2 crystal, from the Alexandria database.

Computed properties:
crystal system: monoclinic
space group: P2/m (10)
energy above the lowest structure with this stoichiometry: 1.25 eV per formula unit
ΔE_f: 0.188 eV/atom

Unit cell a=7.097 b=7.101 c=10.618 alpha=90.00 beta=90.00 gamma=106.92
Positions (direct):
Pm 0.270 0.311 0.285
Pm 0.731 0.189 0.219
Pm 0.269 0.811 0.781
Pm 0.730 0.689 0.715
Pm 0.730 0.689 0.285
Pm 0.731 0.189 0.781
Pm 0.269 0.811 0.219
Pm 0.270 0.311 0.715
Nd 0.000 0.000 0.000
Nd 0.000 0.000 0.500
Nd 0.000 0.500 0.500
Nd 0.500 0.000 0.500
La 0.500 0.500 0.000
La 0.000 0.500 0.000

=====

The following is a PBE calculation of a relaxed Be2InSb crystal, from the Alexandria database.

Computed properties:
crystal system: orthorhombic
space group: Pmmm (47)
energy above the lowest structure with this stoichiometry: 1.57 eV per formula unit
raw formation energy: 0.66 eV/atom

Unit cell a=3.299 b=3.583 c=6.375 alpha=90.00 beta=90.00 gamma=90.00
Positions (direct):
Sb 0.500 0.500 0.750
Be 0.000 0.000 0.932
Be 0.000 0.000 0.568
In 0.500 0.500 0.250

=====

The following is a PBE calculation of a relaxed Y3Ho4TmS8 crystal, from the Alexandria database.

Computed properties:
crystal system: trigonal
space group: R-3m (166)
raw formation energy: -1.97 eV/atom

Unit cell a=7.785 b=7.785 c=7.785 alpha=120.00 beta=120.00 gamma=90.00
Positions (direct):
Y 0.500 0.500 0.000
Y 0.500 0.500 0.500
Y 0.000 0.500 0.500
Ho 0.500 0.000 0.000
Ho 0.500 0.000 0.500
Ho 0.000 0.000 0.000
Ho 0.000 0.000 0.500
Tm 0.000 0.500 0.000
S 0.248 0.751 0.002
S 0.248 0.751 0.497
S 0.249 0.247 0.498
S 0.754 0.751 0.002
S 0.246 0.249 0.998
S 0.751 0.753 0.502
S 0.752 0.249 0.503
S 0.752 0.249 0.998

=====

The following is a PBE calculation of a relaxed TiAlNi2P crystal, from the Alexandria database.

Computed properties:
crystal system: tetragonal
space group: P4/mmm (123)
ΔE_f: 0.698 eV/atom

Unit cell a=4.164 b=4.834 c=4.164 alpha=90.00 beta=90.00 gamma=90.00
Positions (direct):
Ni 0.000 0.000 0.500
Ni 0.500 0.000 0.000
Al 0.000 0.000 0.000
P 0.500 0.500 0.500
Ti 0.000 0.500 0.000

=====

The following is a PBE calculation of a relaxed Y2NbAgRh crystal, from the Alexandria database.

Computed properties:
crystal system: tetragonal
space group: P4/mmm (123)
ΔE_f: 0.560 eV/atom

Unit cell a=5.464 b=4.639 c=5.464 alpha=90.00 beta=90.00 gamma=90.00
Positions (direct):
Y 0.000 0.000 0.500
Y 0.500 0.000 0.000
Nb 0.000 0.000 0.000
Rh 0.000 0.500 0.000
Ag 0.500 0.500 0.500

=====

The following is a PBE calculation of a relaxed Ga2HO3 crystal, from the Alexandria database.

Computed properties:
crystal system: orthorhombic
calculated total energy: -31.29 eV/cell
space group: Imm2 (44)

Unit cell a=3.120 b=4.999 c=5.892 alpha=115.10 beta=105.35 gamma=90.00
Positions (direct):
Ga 0.829 0.628 0.658
Ga 0.171 0.970 0.342
H 0.500 0.997 0.000
O 0.000 0.956 0.000
O 0.292 0.388 0.583
O 0.708 0.805 0.417

=====

The following is a PBE calculation of a relaxed YZn2GaCu4 crystal, from the Alexandria database.

Computed properties:
crystal system: trigonal
space group: R-3m (166)
ΔE_f: -0.157 eV/atom

Unit cell a=4.206 b=4.206 c=8.555 alpha=75.77 beta=75.77 gamma=60.00
Positions (direct):
Y 0.000 0.000 0.000
Zn 0.754 0.754 0.737
Zn 0.246 0.246 0.263
Ga 0.500 0.500 0.500
Cu 0.402 0.402 0.795
Cu 0.871 0.871 0.387
Cu 0.129 0.129 0.613
Cu 0.598 0.598 0.205

=====

The following is a PBE calculation of a relaxed Nd3Er4Tm5 crystal, from the Alexandria database.

Computed properties:
crystal system: triclinic
space group: P-1 (2)
energy above the lowest structure with this stoichiometry: 0.00 eV per formula unit
ΔE_f: 0.023 eV/atom

Unit cell a=7.082 b=11.189 c=12.760 alpha=151.29 beta=56.42 gamma=129.21
Positions (direct):
Nd 0.585 0.168 0.334
Nd 0.000 0.000 0.500
Nd 0.415 0.832 0.666
Er 0.918 0.836 0.669
Er 0.832 0.665 0.833
Er 0.168 0.335 0.167
Er 0.082 0.164 0.331
Tm 0.332 0.668 0.835
Tm 0.500 0.000 0.500
Tm 0.749 0.501 0.001
Tm 0.251 0.499 0.999
Tm 0.668 0.332 0.165

=====

The following is a PBE calculation of a relaxed LiHSe2 crystal, from the Alexandria database.

Computed properties:
crystal system: trigonal
space group: R-3m (166)
energy above the lowest structure with this stoichiometry: 2.00 eV per formula unit

Unit cell a=7.988 b=7.988 c=7.988 alpha=22.69 beta=22.69 gamma=22.69
Positions (direct):
H 0.500 0.500 0.500
Se 0.897 0.897 0.897
Se 0.103 0.103 0.103
Li 0.000 0.000 0.000

=====

The following is a PBE calculation of a relaxed Pm4SiSbSe2 crystal, from the Alexandria database.

Computed properties:
crystal system: monoclinic
space group: P2/m (10)
raw formation energy: -1.42 eV/atom

Unit cell a=4.297 b=7.423 c=7.482 alpha=70.58 beta=90.00 gamma=90.00
Positions (direct):
Pm 0.000 0.749 0.737
Pm 0.000 0.251 0.263
Pm 0.500 0.743 0.263
Pm 0.500 0.257 0.737
Si 0.000 0.500 0.500
Sb 0.500 0.500 0.000
Se 0.000 0.000 0.000
Se 0.500 0.000 0.500

=====

The following is a PBE calculation of a relaxed Ho5Pd6 crystal, from the Alexandria database.

Computed properties:
crystal system: orthorhombic
space group: Immm (71)
ΔE_f: -0.800 eV/atom

Unit cell a=4.846 b=7.035 c=8.403 alpha=114.75 beta=106.76 gamma=90.01
Positions (direct):
Ho 0.000 0.500 0.000
Ho 0.675 0.675 0.350
Ho 0.325 0.325 0.650
Ho 0.358 0.858 0.716
Ho 0.642 0.142 0.284
Pd 0.500 0.715 0.000
Pd 0.500 0.285 0.000
Pd 0.823 0.094 0.646
Pd 0.823 0.552 0.646
Pd 0.177 0.906 0.354
Pd 0.177 0.448 0.354